A plane-wave DFT calculation with PBE-GGA was carried out for a relaxed SmAlCd crystal.

## Properties
- ΔE_f (meV per atom) = -389
- total DFT energy (no corrections) (eV for the cell shown) = -10.55
- V (Å³/atom) = 24.04
- M_tot (μB per formula unit) = 0.00

Cell lengths 4.7495, 4.7495, 3.6919 Å; angles 90.00, 90.00, 120.00 degrees
Space group P-6m2 (No. 187)
Inequivalent atoms, fractional coordinates:
Sm 0.0000 0.0000 0.0000 x1
Al 0.6667 0.3333 0.5000 x1
Cd 0.3333 0.6667 0.5000 x1